A PBEsol-optimized structure of CdRu2Pt. Source: Alexandria via LeMat-Bulk, functional SCAN.

Computed properties:
For the total DFT energy (no corrections), the calculation gives -1.552 Ha/atom. As for the density of states at the Fermi level: 2.83 states/eV per cell. The value obtained for the energy of formation from the pure elements is 335 meV/atom.

Unit cell a=2.7899 b=4.6190 c=4.7307 alpha=90.00 beta=90.00 gamma=90.00
Sites, in units of the cell vectors:
Cd (0.5000, 0.0000, 0.5000)
Pt (0.0000, 0.5000, 0.5000)
Ru (0.0000, 0.0000, 0.0000)
Ru (0.5000, 0.5000, 0.0000)